[1]
# DyCd2Sn2 | the Alexandria database | GGA-PBE | relaxed
# Final energy in hartree per atom: -0.119
data_DyCd2Sn2
_chemical_formula_sum 'Dy2 Cd4 Sn4'
_cell_length_a 4.4262
_cell_length_b 4.4642
_cell_length_c 12.4845
_cell_angle_alpha 90.00
_cell_angle_beta 100.21
_cell_angle_gamma 90.00
_symmetry_space_group_name_H-M 'P 1'
_symmetry_Int_Tables_number 1
loop_
_symmetry_equiv_pos_as_xyz
'x,y,z'
loop_
_atom_site_label
_atom_site_type_symbol
_atom_site_fract_x
_atom_site_fract_y
_atom_site_fract_z
Dy1 Dy 0.3496 0.2500 0.6991
Dy2 Dy 0.6504 0.7500 0.3009
Cd1 Cd 0.0456 0.7500 0.0912
Cd2 Cd 0.4563 0.7500 0.9127
Cd3 Cd 0.9544 0.2500 0.9088
Cd4 Cd 0.5437 0.2500 0.0873
Sn1 Sn 0.7498 0.2500 0.4995
Sn2 Sn 0.2502 0.7500 0.5005
Sn3 Sn 0.8666 0.7500 0.7332
Sn4 Sn 0.1334 0.2500 0.2668

***

[2]
# La3Y2Ho7 | the Alexandria database | GGA-PBE | relaxed
# Final energy in hartree per atom: -0.174
data_La3Y2Ho7
_chemical_formula_sum 'La3 Y2 Ho7'
_cell_length_a 3.6511
_cell_length_b 5.6318
_cell_length_c 20.4891
_cell_angle_alpha 90.00
_cell_angle_beta 95.11
_cell_angle_gamma 90.00
_symmetry_space_group_name_H-M 'P 1'
_symmetry_Int_Tables_number 1
loop_
_symmetry_equiv_pos_as_xyz
'x,y,z'
loop_
_atom_site_label
_atom_site_type_symbol
_atom_site_fract_x
_atom_site_fract_y
_atom_site_fract_z
La1 La 0.5000 0.5000 0.0000
La2 La 0.8273 0.0000 0.6547
La3 La 0.1727 0.0000 0.3453
Y1 Y 0.3627 0.5000 0.7258
Y2 Y 0.6373 0.5000 0.2742
Ho1 Ho 0.2841 0.5000 0.5681
Ho2 Ho 0.7159 0.5000 0.4319
Ho3 Ho 0.4151 0.0000 0.8308
Ho4 Ho 0.0000 0.0000 0.0000
Ho5 Ho 0.5849 0.0000 0.1692
Ho6 Ho 0.0682 0.5000 0.1359
Ho7 Ho 0.9318 0.5000 0.8641

***

[3]
# Tm4In2HgAu | the Alexandria database | GGA-PBE | relaxed
# Final energy in hartree per atom: -0.143
data_Tm4In2HgAu
_chemical_formula_sum 'Tm4 In2 Hg1 Au1'
_cell_length_a 5.1972
_cell_length_b 5.1972
_cell_length_c 8.9937
_cell_angle_alpha 73.21
_cell_angle_beta 73.21
_cell_angle_gamma 60.00
_symmetry_space_group_name_H-M 'P 1'
_symmetry_Int_Tables_number 1
loop_
_symmetry_equiv_pos_as_xyz
'x,y,z'
loop_
_atom_site_label
_atom_site_type_symbol
_atom_site_fract_x
_atom_site_fract_y
_atom_site_fract_z
Tm1 Tm 0.3783 0.3783 0.8650
Tm2 Tm 0.8721 0.8721 0.3836
Tm3 Tm 0.1279 0.1279 0.6164
Tm4 Tm 0.6217 0.6217 0.1350
In1 In 0.7478 0.7478 0.7565
In2 In 0.2522 0.2522 0.2435
Hg1 Hg 0.0000 0.0000 0.0000
Au1 Au 0.5000 0.5000 0.5000

***

[4]
# VReS2 | the Alexandria database | GGA-PBE | relaxed
# Final energy in hartree per atom: -0.284
# Raw formation energy in eV/atom: -0.270
# Energy relative to the lowest polymorph listed for this composition in kJ/mol of atoms: 0.00
data_VReS2
_chemical_formula_sum 'V1 Re1 S2'
_cell_length_a 8.0133
_cell_length_b 8.0133
_cell_length_c 8.0133
_cell_angle_alpha 21.14
_cell_angle_beta 21.14
_cell_angle_gamma 21.14
_symmetry_space_group_name_H-M 'P 1'
_symmetry_Int_Tables_number 1
loop_
_symmetry_equiv_pos_as_xyz
'x,y,z'
loop_
_atom_site_label
_atom_site_type_symbol
_atom_site_fract_x
_atom_site_fract_y
_atom_site_fract_z
Re1 Re 0.0000 0.0000 0.0000
S1 S 0.9014 0.9014 0.9014
S2 S 0.0986 0.0986 0.0986
V1 V 0.5000 0.5000 0.5000

***

Q: final energy of number 4 (VReS2)?
A: -0.284 hartree per atom

***

Q: Which of these has the lowest final energy?
A: VReS2